Entry from Alexandria: an optimized crystal structure of PuAgO5 (PBE).

Values from the calculation:
The density of states at the Fermi level is 0.7749 states/eV/atom. As for the crystal system: monoclinic. The uncorrected formation energy is -126.3 kJ per mole of atoms.

Cell: 5.5754 5.5754 7.8723 Å, 102.47 104.69 109.70°
With the nearest neighbours (Å) after each atom.
Positions (direct):
Pu 0.0000 0.0000 0.0000  4 O 1.85-1.92
Pu 0.5000 0.0000 0.5000  4 O 1.85-1.92
Ag 0.7034 0.4534 0.2500  3 O 2.08-2.12
Ag 0.2966 0.5466 0.7500  3 O 2.08-2.12
O 0.8524 0.1752 0.1567  1 Pu 1.92, 1 Ag 2.08
O 0.1333 0.7948 0.4439  1 Pu 1.85
O 0.4815 0.3043 0.6567  1 Pu 1.92, 1 Ag 2.08
O 0.3735 0.1235 0.2500  1 Ag 2.12, 2 Pu 2.25
O 0.8510 0.6895 0.0561  1 Pu 1.85
O 0.1490 0.3105 0.9439  1 Pu 1.85
O 0.6265 0.8765 0.7500  1 Ag 2.12, 2 Pu 2.25
O 0.5185 0.6957 0.3433  1 Pu 1.92, 1 Ag 2.08
O 0.8667 0.2052 0.5561  1 Pu 1.85
O 0.1476 0.8248 0.8433  1 Pu 1.92, 1 Ag 2.08